Density functional theory data (PBE) for a relaxed structure of AcS6Cl2.

The structure in extended XYZ format:
```
9
Lattice="4.5820 0.2854 0.1827 -0.2585 6.6097 -3.7982 0.8265 0.7052 9.5859" Properties=species:S:1:pos:R:3 pbc="T T T"
S 1.3419 4.3490 4.3893
S 3.8081 3.2513 1.5811
S 4.8832 5.9632 3.3907
S 4.7898 3.0058 4.8831
S 0.3602 4.5945 1.0873
Cl 2.0908 5.4448 -2.4664
S 0.2668 1.6371 2.5797
Ac 0.0000 0.0000 0.0000
Cl 3.0592 2.1555 8.4368
```

Computed properties:
* formation energy from raw total energies: -702.6 meV per atom
* volume: 33.49 A^3/atom
* SG: P-1 (2)

Density functional theory data (PBE) for a relaxed structure of Ac2S2Cl.

The structure in extended XYZ format:
```
5
Lattice="5.2192 0.0000 0.0000 -2.6096 4.5199 0.0000 0.0000 0.0000 6.0682" Properties=species:S:1:pos:R:3 pbc="T T T"
S 0.0000 3.0133 4.4026
Ac 0.0000 3.0133 1.4103
Ac 2.6096 1.5066 4.6579
Cl 0.0000 0.0000 0.0000
S 2.6096 1.5066 1.6656
```

Computed properties:
* formation energy from raw total energies: -2109.7 meV per atom
* volume: 28.63 A^3/atom
* SG: P-3m1 (164)

Density functional theory data (PBE) for a relaxed structure of Ac2SCl.

The structure in extended XYZ format:
```
4
Lattice="4.2971 0.0000 0.0000 2.1486 3.7214 0.0000 2.1486 1.2405 7.1200" Properties=species:S:1:pos:R:3 pbc="T T T"
Ac 6.4457 3.7214 5.2262
Ac 2.1486 1.2405 1.8938
S 4.2971 2.4809 3.5600
Cl 0.0000 0.0000 0.0000
```

Computed properties:
* formation energy from raw total energies: -1691.8 meV per atom
* volume: 28.46 A^3/atom
* SG: R-3m (166)

> Which formula does entry 3 have?

Ac2SCl

> Which of these has the lowest formation energy from raw total energies?

Ac2S2Cl

Copy entry 2 word for word.
Density functional theory data (PBE) for a relaxed structure of Ac2S2Cl.

The structure in extended XYZ format:
```
5
Lattice="5.2192 0.0000 0.0000 -2.6096 4.5199 0.0000 0.0000 0.0000 6.0682" Properties=species:S:1:pos:R:3 pbc="T T T"
S 0.0000 3.0133 4.4026
Ac 0.0000 3.0133 1.4103
Ac 2.6096 1.5066 4.6579
Cl 0.0000 0.0000 0.0000
S 2.6096 1.5066 1.6656
```

Computed properties:
* formation energy from raw total energies: -2109.7 meV per atom
* volume: 28.63 A^3/atom
* SG: P-3m1 (164)